Entry 1:
# La3Sc

A crystal of La3Sc relaxed with PBEsol (meta-GGA SCAN, Alexandria). Values from VASP.

The structure in Quantum ESPRESSO input format:
```
&SYSTEM
  ibrav = 0, nat = 8, ntyp = 2
/
ATOMIC_SPECIES
Sc 44.96 Sc.upf
La 138.91 La.upf
CELL_PARAMETERS angstrom
-1.041 5.577 -0.612
-1.773 -0.972 -5.844
-6.719 -1.012 2.207
ATOMIC_POSITIONS angstrom
Sc -1.183 -0.648 -3.898
Sc -4.470 1.959 -1.148
La -1.128 2.455 -2.308
La -4.525 -1.145 -2.738
La -7.041 1.222 -3.495
La -5.331 -0.923 0.657
La -1.992 -0.420 -0.440
La -3.661 1.731 -4.606
```

Output
**M_tot**: 0.00 μB per formula unit
**D(E_F)**: 12.767 states/eV/cell
**E**: -35.83 eV/atom
**Symmetry**: Pmmn, No. 59

***

Entry 2:
# LiCaGa3

A crystal of LiCaGa3 relaxed with PBEsol (meta-GGA SCAN, Alexandria). Values from VASP.

The structure in Quantum ESPRESSO input format:
```
&SYSTEM
  ibrav = 0, nat = 5, ntyp = 3
/
ATOMIC_SPECIES
Ga 69.72 Ga.upf
Li 6.94 Li.upf
Ca 40.08 Ca.upf
CELL_PARAMETERS angstrom
5.463 0.000 0.000
0.000 5.463 0.000
0.000 0.000 5.463
ATOMIC_POSITIONS angstrom
Ga 0.000 0.000 2.732
Ga 2.732 0.000 0.000
Ga 0.000 2.732 0.000
Li 2.732 2.732 2.732
Ca 0.000 0.000 0.000
```

Output
**M_tot**: 0.00 μB per formula unit
**D(E_F)**: 3.553 states/eV/cell
**E**: -11.54 eV/atom
**Symmetry**: Pm-3m, No. 221

***

Entry 3:
# CrIr2

A crystal of CrIr2 relaxed with PBEsol (meta-GGA SCAN, Alexandria). Values from VASP.

The structure in Quantum ESPRESSO input format:
```
&SYSTEM
  ibrav = 0, nat = 12, ntyp = 2
/
ATOMIC_SPECIES
Ir 192.22 Ir.upf
Cr 52.00 Cr.upf
CELL_PARAMETERS angstrom
4.222 0.000 0.000
0.000 4.640 0.000
0.000 0.000 8.036
ATOMIC_POSITIONS angstrom
Ir 1.055 3.045 2.643
Ir 3.166 3.915 6.661
Ir 3.166 1.595 5.393
Ir 3.166 1.535 0.041
Ir 1.055 0.785 4.059
Ir 1.055 3.105 7.995
Ir 3.166 3.855 3.977
Ir 1.055 0.725 1.375
Cr 3.166 1.530 2.705
Cr 3.166 3.850 1.313
Cr 1.055 0.790 6.723
Cr 1.055 3.110 5.332
```

Output
**M_tot**: 0.00 μB per formula unit
**D(E_F)**: 6.190 states/eV/cell
**E**: -53.82 eV/atom
**Symmetry**: Pnma, No. 62

***

Entry 4:
# Sc5Zn

A crystal of Sc5Zn relaxed with PBEsol (meta-GGA SCAN, Alexandria). Values from VASP.

The structure in Quantum ESPRESSO input format:
```
&SYSTEM
  ibrav = 0, nat = 6, ntyp = 2
/
ATOMIC_SPECIES
Sc 44.96 Sc.upf
Zn 65.41 Zn.upf
CELL_PARAMETERS angstrom
3.340 0.000 0.000
-1.670 5.529 -0.222
0.000 -2.734 7.197
ATOMIC_POSITIONS angstrom
Sc 1.670 4.138 2.749
Sc 0.000 1.707 4.261
Sc 1.670 1.117 1.732
Sc 1.670 2.298 6.789
Sc 1.670 -0.722 5.779
Zn 0.000 3.078 0.667
```

Output
**M_tot**: 0.00 μB per formula unit
**D(E_F)**: 7.878 states/eV/cell
**Symmetry**: Cm, No. 8
**Relative energy among the computed polymorphs**: 0.000 kcal/mol of atoms

***

Entry 5:
# Te2Au

A crystal of Te2Au relaxed with PBEsol (meta-GGA SCAN, Alexandria). Values from VASP.

The structure in Quantum ESPRESSO input format:
```
&SYSTEM
  ibrav = 0, nat = 3, ntyp = 2
/
ATOMIC_SPECIES
Te 127.60 Te.upf
Au 196.97 Au.upf
CELL_PARAMETERS angstrom
-2.665 1.615 -0.061
-0.174 -0.132 4.096
3.453 5.356 -1.734
ATOMIC_POSITIONS angstrom
Te -0.470 2.271 2.107
Te 1.084 4.568 0.193
Au -1.332 0.807 -0.031
```

Output
**M_tot**: 0.00 μB per formula unit
**D(E_F)**: 1.223 states/eV/cell
**Symmetry**: C2/m, No. 12
**Formation energy (no corrections)**: -0.145 eV per atom

***

Entry 6:
# LiSc3P

A crystal of LiSc3P relaxed with PBEsol (meta-GGA SCAN, Alexandria). Values from VASP.

The structure in Quantum ESPRESSO input format:
```
&SYSTEM
  ibrav = 0, nat = 5, ntyp = 3
/
ATOMIC_SPECIES
Li 6.94 Li.upf
Sc 44.96 Sc.upf
P 30.97 P.upf
CELL_PARAMETERS angstrom
4.945 0.000 0.000
0.000 4.945 0.000
0.000 0.000 4.945
ATOMIC_POSITIONS angstrom
Li 2.472 2.472 2.472
Sc 2.472 0.000 0.000
Sc 0.000 2.472 0.000
Sc 0.000 0.000 2.472
P 0.000 0.000 0.000
```

Output
**M_tot**: 1.83 μB per formula unit
**D(E_F)**: 6.455 states/eV/cell
**E**: -11.50 eV/atom
**Symmetry**: Pm-3m, No. 221

***

Entry 7:
# KBeZn2

A crystal of KBeZn2 relaxed with PBEsol (meta-GGA SCAN, Alexandria). Values from VASP.

The structure in Quantum ESPRESSO input format:
```
&SYSTEM
  ibrav = 0, nat = 4, ntyp = 3
/
ATOMIC_SPECIES
K 39.10 K.upf
Zn 65.41 Zn.upf
Be 9.01 Be.upf
CELL_PARAMETERS angstrom
3.064 0.000 0.000
0.000 3.064 0.000
0.000 0.000 7.930
ATOMIC_POSITIONS angstrom
K 1.532 1.532 5.870
Zn 0.000 0.000 0.559
Zn 1.532 1.532 2.291
Be 0.000 0.000 3.176
```

Output
**M_tot**: 0.00 μB per formula unit
**D(E_F)**: 1.341 states/eV/cell
**E**: -9.53 eV/atom
**Symmetry**: P4mm, No. 99

***

Entry 8:
# TcNiRu

A crystal of TcNiRu relaxed with PBEsol (meta-GGA SCAN, Alexandria). Values from VASP.

The structure in Quantum ESPRESSO input format:
```
&SYSTEM
  ibrav = 0, nat = 3, ntyp = 3
/
ATOMIC_SPECIES
Ni 58.69 Ni.upf
Ru 101.07 Ru.upf
Tc 98.00 Tc.upf
CELL_PARAMETERS angstrom
2.628 0.000 0.000
0.000 2.628 0.000
-1.314 -1.314 5.488
ATOMIC_POSITIONS angstrom
Ni 1.314 1.314 5.483
Ru 1.314 1.314 1.817
Tc 0.000 0.000 3.675
```

Output
**M_tot**: 0.00 μB per formula unit
**D(E_F)**: 3.646 states/eV/cell
**Symmetry**: I4mm, No. 107
**Relative energy among the computed polymorphs**: 2.202 kcal/mol of atoms

***

Entry 9:
# MnAs2F12

A crystal of MnAs2F12 relaxed with PBEsol (meta-GGA SCAN, Alexandria). Values from VASP.

The structure in Quantum ESPRESSO input format:
```
&SYSTEM
  ibrav = 0, nat = 30, ntyp = 3
/
ATOMIC_SPECIES
F 19.00 F.upf
As 74.92 As.upf
Mn 54.94 Mn.upf
CELL_PARAMETERS angstrom
-0.243 -6.282 4.070
5.023 2.882 4.749
-8.057 4.645 -0.203
ATOMIC_POSITIONS angstrom
F -5.302 4.672 2.259
F -0.775 -1.233 5.540
F -1.086 1.251 5.555
F -3.513 2.636 1.603
F 1.164 -3.066 7.003
F 1.392 3.092 5.718
F -3.142 2.546 6.944
F -2.564 -0.222 6.941
F 0.732 -4.918 5.372
F 3.279 1.917 4.018
F -3.156 0.830 3.348
F 0.891 0.257 6.741
F -6.077 1.001 1.727
F 3.589 -0.197 6.202
F 0.935 1.060 3.806
F -0.326 4.975 3.971
F -5.029 0.697 5.410
F -1.331 -0.074 1.921
F -7.423 2.944 0.899
F -2.576 3.496 4.696
F -1.898 -4.657 4.366
F 0.189 -2.682 3.362
F -1.267 2.336 2.667
F -6.027 -1.722 3.327
As -0.797 -0.044 6.776
As -2.801 4.202 6.318
As -2.479 1.288 1.841
As 2.157 1.625 2.637
Mn -0.322 2.914 4.478
Mn 0.000 0.000 0.000
```

Output
**M_tot**: 5.00 μB per formula unit
**D(E_F)**: 0.000 states/eV/cell
**Symmetry**: I-42d, No. 122
**Formation energy (no corrections)**: -2.332 eV per atom

***

Entry 10:
# BaAlRu2

A crystal of BaAlRu2 relaxed with PBEsol (meta-GGA SCAN, Alexandria). Values from VASP.

The structure in Quantum ESPRESSO input format:
```
&SYSTEM
  ibrav = 0, nat = 4, ntyp = 3
/
ATOMIC_SPECIES
Ru 101.07 Ru.upf
Ba 137.33 Ba.upf
Al 26.98 Al.upf
CELL_PARAMETERS angstrom
-1.369 -1.899 2.217
-2.180 -2.048 -3.100
4.021 -3.500 -0.515
ATOMIC_POSITIONS angstrom
Ru 1.326 -2.699 0.851
Ru 0.000 0.000 0.000
Ba 0.921 -2.774 -1.808
Al -1.774 -1.973 -0.442
```

Output
**M_tot**: 0.00 μB per formula unit
**D(E_F)**: 3.018 states/eV/cell
**E**: -28.38 eV/atom
**Symmetry**: Pmmm, No. 47

***

Entry 11:
# ScNbIn2Ni

A crystal of ScNbIn2Ni relaxed with PBEsol (meta-GGA SCAN, Alexandria). Values from VASP.

The structure in Quantum ESPRESSO input format:
```
&SYSTEM
  ibrav = 0, nat = 5, ntyp = 4
/
ATOMIC_SPECIES
Nb 92.91 Nb.upf
In 114.82 In.upf
Sc 44.96 Sc.upf
Ni 58.69 Ni.upf
CELL_PARAMETERS angstrom
4.718 0.000 0.000
0.000 5.274 0.000
0.000 0.000 5.274
ATOMIC_POSITIONS angstrom
Nb 0.000 0.000 0.000
In 0.000 0.000 2.637
In 0.000 2.637 0.000
Sc 2.359 0.000 0.000
Ni 2.359 2.637 2.637
```

Output
**M_tot**: 1.05 μB per formula unit
**D(E_F)**: 7.001 states/eV/cell
**E**: -24.96 eV/atom
**Symmetry**: P4/mmm, No. 123

***

Entry 12:
# Ba2FeSe

A crystal of Ba2FeSe relaxed with PBEsol (meta-GGA SCAN, Alexandria). Values from VASP.

The structure in Quantum ESPRESSO input format:
```
&SYSTEM
  ibrav = 0, nat = 4, ntyp = 3
/
ATOMIC_SPECIES
Ba 137.33 Ba.upf
Se 78.96 Se.upf
Fe 55.84 Fe.upf
CELL_PARAMETERS angstrom
4.595 0.175 0.000
-0.173 4.595 0.000
0.000 0.000 6.482
ATOMIC_POSITIONS angstrom
Ba 0.000 0.000 0.808
Ba 2.211 2.385 4.050
Se 2.211 2.385 0.809
Fe 0.000 0.000 4.055
```

Output
**M_tot**: 2.40 μB per formula unit
**D(E_F)**: 0.889 states/eV/cell
**Symmetry**: P4mm, No. 99
**Formation energy (no corrections)**: -0.573 eV per atom

***

Entry 13:
# LiIn3

A crystal of LiIn3 relaxed with PBEsol (meta-GGA SCAN, Alexandria). Values from VASP.

The structure in Quantum ESPRESSO input format:
```
&SYSTEM
  ibrav = 0, nat = 8, ntyp = 2
/
ATOMIC_SPECIES
In 114.82 In.upf
Li 6.94 Li.upf
CELL_PARAMETERS angstrom
5.169 0.000 0.000
0.000 6.362 0.000
0.000 -3.181 5.509
ATOMIC_POSITIONS angstrom
In 3.877 0.000 1.860
In 1.292 4.751 0.930
In 1.292 3.181 3.650
In 3.877 1.570 4.579
In 1.292 1.610 0.930
In 3.877 -1.570 4.579
Li 3.877 3.181 1.836
Li 1.292 0.000 3.673
```

Output
**M_tot**: 0.00 μB per formula unit
**D(E_F)**: 3.308 states/eV/cell
**E**: -25.81 eV/atom
**Symmetry**: P6_3/mmc, No. 194

***

Entry 14:
# OsBr3O

A crystal of OsBr3O relaxed with PBEsol (meta-GGA SCAN, Alexandria). Values from VASP.

The structure in Quantum ESPRESSO input format:
```
&SYSTEM
  ibrav = 0, nat = 5, ntyp = 3
/
ATOMIC_SPECIES
Os 190.23 Os.upf
Br 79.90 Br.upf
O 16.00 O.upf
CELL_PARAMETERS angstrom
-2.594 3.202 2.725
-3.932 -0.713 -2.905
-1.489 -3.694 2.923
ATOMIC_POSITIONS angstrom
Os 0.000 0.000 0.000
Br -0.745 -1.847 1.461
Br -1.966 -0.357 -1.453
Br -1.297 1.601 1.362
O -4.008 -0.603 1.371
```

Output
**M_tot**: 0.18 μB per formula unit
**D(E_F)**: 6.934 states/eV/cell
**Symmetry**: Pm-3m, No. 221
**Formation energy (no corrections)**: 0.948 eV per atom